Material: MnSiW2
Method: DFT, PBE
State: relaxed

Computed properties:
N(E_F) in states/eV/f.u.: 3.4
Space group: P4mm, No. 99
Total magnetization in μB per formula unit: 0.56
Uncorrected formation energy in kcal/mol of atoms: 0.04

Cell: 3.0984 3.0984 5.7977 Å, 90.00 90.00 90.00°
Last column: magnetic moment on the atom in μB.
Element x y z (fractional)
Si 0.5000 0.5000 0.7396  -0.01
W 0.5000 0.5000 0.2731  -0.08
W 0.0000 0.0000 0.9816  0.05
Mn 0.0000 0.0000 0.5057  0.59


Material: MnSiW2
Method: DFT, PBE
State: relaxed

Computed properties:
N(E_F) in states/eV/f.u.: 2.6
Space group: F-43m, No. 216
Total magnetization in μB per formula unit: 0.46
Uncorrected formation energy in kcal/mol of atoms: 1.61

Cell: 4.2902 4.2902 4.2902 Å, 60.00 60.00 60.00°
Last column: magnetic moment on the atom in μB.
Element x y z (fractional)
Si 0.7500 0.7500 0.7500  -0.01
Mn 0.5000 0.5000 0.5000  0.46
W 0.2500 0.2500 0.2500  -0.07
W 0.0000 0.0000 0.0000  0.09


Material: MnSi2W
Method: DFT, PBE
State: relaxed

Computed properties:
N(E_F) in states/eV/f.u.: 2.2
Space group: F-43m, No. 216
Total magnetization in μB per formula unit: 1.78
Uncorrected formation energy in kcal/mol of atoms: 4.71

Cell: 4.2305 4.2305 4.2305 Å, 60.00 60.00 60.00°
Last column: magnetic moment on the atom in μB.
Element x y z (fractional)
Si 0.0000 0.0000 0.0000  0.06
Si 0.2500 0.2500 0.2500  -0.02
W 0.7500 0.7500 0.7500  0.02
Mn 0.5000 0.5000 0.5000  1.69


Material: MnSiW2
Method: DFT, PBE
State: relaxed

Computed properties:
N(E_F) in states/eV/f.u.: 3.6
Space group: Pmmm, No. 47
Total magnetization in μB per formula unit: 1.07
Uncorrected formation energy in kcal/mol of atoms: 0.91

Cell: 3.1653 4.3000 4.1246 Å, 90.00 90.00 90.00°
Last column: magnetic moment on the atom in μB.
Element x y z (fractional)
W 0.0000 0.0000 0.0000  -0.16
W 0.5000 0.5000 0.0000  0.08
Si 0.0000 0.5000 0.5000  -0.01
Mn 0.5000 0.0000 0.5000  1.17


Material: MnSi2W
Method: DFT, PBE
State: relaxed

Computed properties:
N(E_F) in states/eV/f.u.: 2.2
Space group: R-3m, No. 166
Total magnetization in μB per formula unit: 0.92
Uncorrected formation energy in kcal/mol of atoms: -0.02

Cell: 8.1646 8.1646 8.1646 Å, 19.51 19.51 19.51°
Last column: magnetic moment on the atom in μB.
Element x y z (fractional)
Si 0.4913 0.4913 0.4913  -0.01
Si 0.0087 0.0087 0.0087  -0.01
W 0.2500 0.2500 0.2500  -0.01
Mn 0.7500 0.7500 0.7500  0.92


Material: MnSi2W
Method: DFT, PBE
State: relaxed

Computed properties:
N(E_F) in states/eV/f.u.: 1.7
Space group: P4mm, No. 99
Total magnetization in μB per formula unit: 1.79
Uncorrected formation energy in kcal/mol of atoms: 4.06

Cell: 2.6481 2.6481 7.8972 Å, 90.00 90.00 90.00°
Last column: magnetic moment on the atom in μB.
Element x y z (fractional)
Mn 0.5000 0.5000 0.7647  1.85
W 0.0000 0.0000 0.5085  -0.04
Si 0.5000 0.5000 0.2544  -0.01
Si 0.0000 0.0000 0.9724  -0.04


Material: MnSi2W
Method: DFT, PBE
State: relaxed

Computed properties:
N(E_F) in states/eV/f.u.: 2.8
Space group: P4/mmm, No. 123
Total magnetization in μB per formula unit: 0.08
Uncorrected formation energy in kcal/mol of atoms: -2.51

Cell: 2.8571 2.8571 6.1631 Å, 90.00 90.00 90.00°
Last column: magnetic moment on the atom in μB.
Element x y z (fractional)
Mn 0.5000 0.5000 0.7500  0.01
Si 0.0000 0.0000 0.5389  0.00
Si 0.0000 0.0000 0.9611  0.00
W 0.5000 0.5000 0.2500  0.05


Material: MnSi2W
Method: DFT, PBE
State: relaxed

Computed properties:
N(E_F) in states/eV/f.u.: 2.0
Space group: I-4m2, No. 119
Total magnetization in μB per formula unit: 2.25
Uncorrected formation energy in kcal/mol of atoms: -1.18

Cell: 4.8151 4.8151 4.8151 Å, 135.98 135.98 64.02°
Last column: magnetic moment on the atom in μB.
Element x y z (fractional)
W 0.5000 0.5000 0.0000  -0.12
Si 0.0000 0.0000 0.0000  -0.02
Si 0.2500 0.7500 0.5000  -0.01
Mn 0.7500 0.2500 0.5000  2.35